Entry 1:
The following is a PBE calculation of a relaxed structure of YIn2GaBr6, from the Alexandria database.

Results
The uncorrected formation energy comes out at -108.4 kJ/mol of atoms. The value obtained for the density of states at the Fermi level is 0.0 states/eV/cell.

abc: 8.007 8.007 8.221
angles: 60.85 60.85 59.99
Atoms (fractional coordinates):
Y: 0.322 0.322 0.033
In: 0.530 0.530 0.411
In: 0.022 0.022 0.934
Ga: 0.814 0.814 0.557
Br: 0.571 0.183 0.254
Br: 0.183 0.992 0.254
Br: 0.992 0.571 0.254
Br: 0.453 0.663 0.773
Br: 0.663 0.110 0.773
Br: 0.110 0.453 0.773



Entry 2:
The following is a PBE calculation of a relaxed structure of ZnInGaBr4, from the Alexandria database.

Results
The uncorrected formation energy comes out at -69.1 kJ/mol of atoms. The value obtained for the density of states at the Fermi level is 0.0 states/eV/cell.

abc: 7.370 7.571 8.899
angles: 90.00 107.83 90.00
Atoms (fractional coordinates):
Zn: 0.231 0.750 0.308
Zn: 0.769 0.250 0.692
In: 0.757 0.750 0.941
In: 0.243 0.250 0.059
Ga: 0.762 0.750 0.451
Ga: 0.238 0.250 0.549
Br: 0.987 0.503 0.747
Br: 0.013 0.003 0.253
Br: 0.013 0.497 0.253
Br: 0.987 0.997 0.747
Br: 0.428 0.750 0.134
Br: 0.572 0.250 0.866
Br: 0.432 0.750 0.582
Br: 0.568 0.250 0.418



Entry 3:
The following is a PBE calculation of a relaxed structure of GaIr3Br, from the Alexandria database.

Results
The uncorrected formation energy comes out at 157.3 kJ/mol of atoms. The value obtained for the density of states at the Fermi level is 8.0 states/eV/cell.

abc: 4.663 4.663 4.663
angles: 90.00 90.00 90.00
Site moments in Bohr magnetons follow the coordinates.
Atoms (fractional coordinates):
Ir: 0.000 0.500 0.000  1.07
Ir: 0.000 0.000 0.500  0.94
Ir: 0.500 0.000 0.000  0.75
Ga: 0.000 0.000 0.000  -0.05
Br: 0.500 0.500 0.500  0.21



Entry 4:
The following is a PBE calculation of a relaxed structure of GaIrBr2, from the Alexandria database.

Results
The uncorrected formation energy comes out at 71.3 kJ/mol of atoms. The value obtained for the density of states at the Fermi level is 3.1 states/eV/cell.

abc: 4.949 4.949 4.949
angles: 60.00 60.00 60.00
Site moments in Bohr magnetons follow the coordinates.
Atoms (fractional coordinates):
Ir: 0.500 0.500 0.500  1.55
Ga: 0.000 0.000 0.000  0.04
Br: 0.250 0.250 0.250  0.16
Br: 0.750 0.750 0.750  0.16



Entry 5:
The following is a PBE calculation of a relaxed structure of Ga3IrBr, from the Alexandria database.

Results
The uncorrected formation energy comes out at -43.5 kJ/mol of atoms. The value obtained for the density of states at the Fermi level is 2.5 states/eV/cell.

abc: 4.885 4.885 4.885
angles: 90.00 90.00 90.00
Atoms (fractional coordinates):
Ir: 0.000 0.000 0.000
Ga: 0.000 0.500 0.000
Ga: 0.000 0.000 0.500
Ga: 0.500 0.000 0.000
Br: 0.500 0.500 0.500



Entry 6:
The following is a PBE calculation of a relaxed structure of GaIrBr2, from the Alexandria database.

Results
The uncorrected formation energy comes out at 46.6 kJ/mol of atoms. The value obtained for the density of states at the Fermi level is 2.3 states/eV/cell.

abc: 5.810 5.810 8.343
angles: 69.63 69.63 90.00
Atoms (fractional coordinates):
Ir: 0.000 0.000 0.000
Ir: 0.750 0.250 0.500
Ga: 0.500 0.500 0.000
Ga: 0.250 0.750 0.500
Br: 0.715 0.125 0.250
Br: 0.035 0.625 0.250
Br: 0.375 0.285 0.750
Br: 0.875 0.965 0.750



Entry 7:
The following is a PBE calculation of a relaxed structure of GaIrBr2, from the Alexandria database.

Results
The uncorrected formation energy comes out at 41.0 kJ/mol of atoms. The value obtained for the density of states at the Fermi level is 2.7 states/eV/cell.

abc: 10.062 10.062 10.062
angles: 18.23 18.23 18.23
Atoms (fractional coordinates):
Ir: 0.000 0.000 0.000
Ga: 0.500 0.500 0.500
Br: 0.920 0.920 0.920
Br: 0.080 0.080 0.080



Entry 8:
The following is a PBE calculation of a relaxed structure of GaIrBr3, from the Alexandria database.

Results
The uncorrected formation energy comes out at 81.3 kJ/mol of atoms. The value obtained for the density of states at the Fermi level is 4.7 states/eV/cell.

abc: 5.198 5.198 5.198
angles: 90.00 90.00 90.00
Site moments in Bohr magnetons follow the coordinates.
Atoms (fractional coordinates):
Ir: 0.500 0.500 0.500  2.57
Ga: 0.000 0.000 0.000  0.01
Br: 0.000 0.500 0.000  0.08
Br: 0.000 0.000 0.500  0.04
Br: 0.500 0.000 0.000  0.07



Entry 9:
The following is a PBE calculation of a relaxed structure of GaIrBr3, from the Alexandria database.

Results
The uncorrected formation energy comes out at 5.3 kJ/mol of atoms. The value obtained for the density of states at the Fermi level is 2.9 states/eV/cell.

abc: 5.139 5.139 5.139
angles: 90.00 90.00 90.00
Atoms (fractional coordinates):
Ir: 0.000 0.000 0.000
Ga: 0.500 0.500 0.500
Br: 0.000 0.500 0.000
Br: 0.000 0.000 0.500
Br: 0.500 0.000 0.000



Entry 10:
The following is a PBE calculation of a relaxed structure of Ga3IrBr, from the Alexandria database.

Results
The uncorrected formation energy comes out at 122.1 kJ/mol of atoms. The value obtained for the density of states at the Fermi level is 5.6 states/eV/cell.

abc: 5.307 5.307 5.307
angles: 90.00 90.00 90.00
Site moments in Bohr magnetons follow the coordinates.
Atoms (fractional coordinates):
Ir: 0.500 0.500 0.500  1.32
Ga: 0.000 0.500 0.000  -0.02
Ga: 0.000 0.000 0.500  -0.02
Ga: 0.500 0.000 0.000  0.01
Br: 0.000 0.000 0.000  0.02